Entry 1:
Entry from Alexandria via LeMat-Bulk: crystalline K3Ce3ZnO8 at its relaxed geometry (PBE).

Cell: 7.014 7.009 7.458 Å, 118.04 90.00 120.03°
Last column: magnetic moment on the atom in μB.
Positions (direct):
O (0.274, 0.050, 0.326)  -0.01
O (0.777, 0.554, 0.327)  -0.01
O (0.730, 0.460, 0.690)  -0.01
O (0.224, 0.950, 0.674)  -0.01
O (0.726, 0.950, 0.674)  -0.01
O (0.776, 0.050, 0.326)  -0.01
O (0.223, 0.446, 0.673)  -0.01
O (0.270, 0.540, 0.310)  -0.01
K (0.000, 0.500, 0.000)  0.00
K (0.500, 0.500, 0.000)  0.00
K (0.000, 0.000, 0.000)  0.00
Zn (0.000, 0.000, 0.500)  0.00
Ce (0.000, 0.500, 0.500)  0.37
Ce (0.500, 0.000, 0.500)  0.37
Ce (0.500, 0.500, 0.500)  0.37

formation energy without anion corrections = -2.482 eV/atom

Entry 2:
Entry from Alexandria via LeMat-Bulk: crystalline La2Ga4Pt at its relaxed geometry (PBE).

Cell: 4.729 4.729 8.627 Å, 74.09 74.09 90.00°
Positions (direct):
La (0.352, 0.352, 0.296)
La (0.648, 0.648, 0.704)
Ga (0.000, 0.500, 0.000)
Ga (0.837, 0.837, 0.326)
Ga (0.163, 0.163, 0.674)
Ga (0.500, 0.000, 0.000)
Pt (0.000, 0.000, 0.000)

ΔH_f (0 K) = -45.4 kJ/mol of atoms

Entry 3:
Entry from Alexandria via LeMat-Bulk: crystalline PuSi2Rh at its relaxed geometry (PBE).

Cell: 4.073 4.073 9.764 Å, 90.00 90.00 120.00°
Last column: magnetic moment on the atom in μB.
Positions (direct):
Si (0.333, 0.667, 0.928)  -0.01
Si (0.333, 0.667, 0.572)  -0.01
Si (0.667, 0.333, 0.428)  -0.01
Si (0.667, 0.333, 0.072)  -0.01
Rh (0.000, 0.000, 0.500)  -0.01
Rh (0.000, 0.000, 0.000)  -0.01
Pu (0.333, 0.667, 0.250)  5.10
Pu (0.667, 0.333, 0.750)  5.10

formation energy without anion corrections = -0.738 eV/atom

Entry 4:
Entry from Alexandria via LeMat-Bulk: crystalline CeCuPt at its relaxed geometry (PBE).

Cell: 3.561 4.425 4.425 Å, 120.00 90.00 90.00°
Last column: magnetic moment on the atom in μB.
Positions (direct):
Pt (0.166, 0.000, 0.000)  -0.01
Ce (0.667, 0.667, 0.333)  0.66
Cu (0.167, 0.333, 0.667)  0.00

ΔH_f (0 K) = -64.7 kJ/mol of atoms
energy above the most stable polymorph in this dataset = 38.5 meV per atom

Entry 5:
Entry from Alexandria via LeMat-Bulk: crystalline BaFe2Cl at its relaxed geometry (PBE).

Cell: 3.360 3.473 7.690 Å, 76.95 90.00 90.00°
Last column: magnetic moment on the atom in μB.
Positions (direct):
Fe (0.500, 0.226, 0.170)  2.74
Fe (0.000, 0.782, 0.057)  2.90
Ba (0.000, 0.567, 0.495)  -0.16
Cl (0.500, 0.925, 0.778)  0.02

energy above the most stable polymorph in this dataset = 0.0 meV per atom
formation energy without anion corrections = -0.025 eV/atom

Entry 6:
Entry from Alexandria via LeMat-Bulk: crystalline Sn2SbTe2 at its relaxed geometry (PBE).

Cell: 8.621 8.621 4.154 Å, 90.00 90.00 90.00°
Positions (direct):
Te (0.339, 0.839, 0.000)
Te (0.661, 0.161, 0.000)
Te (0.161, 0.339, 0.000)
Te (0.839, 0.661, 0.000)
Sb (0.000, 0.000, 0.000)
Sb (0.500, 0.500, 0.000)
Sn (0.652, 0.848, 0.500)
Sn (0.152, 0.652, 0.500)
Sn (0.348, 0.152, 0.500)
Sn (0.848, 0.348, 0.500)

energy above the most stable polymorph in this dataset = 18.2 meV per atom
formation energy without anion corrections = 0.079 eV/atom

Ρ in g/cm³, matching the order above: 4.554 7.019 9.544 10.962 5.403 6.609
Calculated volume in Å³/atom, matching the order above: 17.770 25.409 17.533 20.134 21.855 30.875